No. 1
! PBE Ac7SbP5, optimized geometry; values from VASP
&SYSTEM
  ibrav = 0, nat = 26, ntyp = 3
/
ATOMIC_SPECIES
Ac 227.00 Ac.upf
Sb 121.76 Sb.upf
P 30.97 P.upf
ATOMIC_POSITIONS crystal
Ac 0.032 0.968 0.750
Ac 0.136 0.864 0.034
Ac 0.136 0.864 0.466
Ac 0.322 0.678 0.672
Ac 0.322 0.678 0.828
Ac 0.411 0.589 0.104
Ac 0.411 0.589 0.396
Ac 0.589 0.411 0.604
Ac 0.589 0.411 0.896
Ac 0.678 0.322 0.172
Ac 0.678 0.322 0.328
Ac 0.864 0.136 0.534
Ac 0.864 0.136 0.966
Ac 0.968 0.032 0.250
Sb 0.297 0.703 0.250
Sb 0.703 0.297 0.750
P 0.045 0.955 0.143
P 0.045 0.955 0.357
P 0.227 0.773 0.573
P 0.227 0.773 0.927
P 0.500 0.500 0.000
P 0.500 0.500 0.500
P 0.773 0.227 0.073
P 0.773 0.227 0.427
P 0.955 0.045 0.643
P 0.955 0.045 0.857
CELL_PARAMETERS angstrom
2.237 -7.325 0.000
2.237 7.325 0.000
0.000 0.000 26.424
! - symmetry = No. 63
! - N(E_F) (states/eV per atom) = 0.364
! - formation energy (no corrections) (eV per atom) = -1.332

---

No. 2
! PBE AcSb2P, optimized geometry; values from VASP
&SYSTEM
  ibrav = 0, nat = 4, ntyp = 3
/
ATOMIC_SPECIES
Ac 227.00 Ac.upf
Sb 121.76 Sb.upf
P 30.97 P.upf
ATOMIC_POSITIONS crystal
Ac 0.000 0.000 0.000
Sb 0.000 0.500 0.500
Sb 0.500 0.000 0.500
P 0.500 0.500 0.000
CELL_PARAMETERS angstrom
4.497 0.000 0.000
0.000 4.497 0.000
0.000 0.000 5.371
! - symmetry = No. 123
! - N(E_F) (states/eV per atom) = 0.480
! - excess energy over the best structure of this formula in the dataset (eV per atom) = 0.0000
! - formation energy (no corrections) (eV per atom) = -0.491

---

No. 3
! PBE Ac2SbP, optimized geometry; values from VASP
&SYSTEM
  ibrav = 0, nat = 12, ntyp = 3
/
ATOMIC_SPECIES
Ac 227.00 Ac.upf
Sb 121.76 Sb.upf
P 30.97 P.upf
ATOMIC_POSITIONS crystal
Ac 0.000 0.000 0.230
Ac 0.000 0.000 0.770
Ac 0.333 0.667 0.410
Ac 0.333 0.667 0.923
Ac 0.667 0.333 0.077
Ac 0.667 0.333 0.590
Sb 0.000 0.000 0.500
Sb 0.333 0.667 0.679
Sb 0.667 0.333 0.321
P 0.000 0.000 0.000
P 0.333 0.667 0.155
P 0.667 0.333 0.845
CELL_PARAMETERS angstrom
4.601 0.000 0.000
-2.301 3.985 0.000
0.000 0.000 22.835
! - symmetry = No. 164
! - N(E_F) (states/eV per atom) = 0.145
! - excess energy over the best structure of this formula in the dataset (eV per atom) = 0.0000
! - formation energy (no corrections) (eV per atom) = -1.316

---

No. 4
! PBE Ac6SbP5, optimized geometry; values from VASP
&SYSTEM
  ibrav = 0, nat = 12, ntyp = 3
/
ATOMIC_SPECIES
Ac 227.00 Ac.upf
Sb 121.76 Sb.upf
P 30.97 P.upf
ATOMIC_POSITIONS crystal
Ac 0.068 0.415 0.745
Ac 0.240 0.240 0.258
Ac 0.415 0.068 0.745
Ac 0.585 0.932 0.255
Ac 0.760 0.760 0.742
Ac 0.932 0.585 0.255
Sb 0.500 0.500 0.000
P 0.000 0.000 0.500
P 0.167 0.833 0.000
P 0.335 0.665 0.500
P 0.665 0.335 0.500
P 0.833 0.167 0.000
CELL_PARAMETERS angstrom
3.909 -6.767 0.000
3.909 6.767 0.000
-2.609 0.000 7.356
! - symmetry = No. 12
! - N(E_F) (states/eV per atom) = 0.040
! - formation energy (no corrections) (eV per atom) = -1.403

---

No. 5
! PBE Ac2SbP, optimized geometry; values from VASP
&SYSTEM
  ibrav = 0, nat = 4, ntyp = 3
/
ATOMIC_SPECIES
Ac 227.00 Ac.upf
Sb 121.76 Sb.upf
P 30.97 P.upf
ATOMIC_POSITIONS crystal
Ac 0.000 0.000 0.000
Ac 0.182 0.182 0.182
Sb 0.424 0.424 0.424
P 0.593 0.593 0.593
CELL_PARAMETERS angstrom
2.272 1.312 7.865
-2.272 1.312 7.865
0.000 -2.623 7.865
! - symmetry = No. 160
! - N(E_F) (states/eV per atom) = 0.255
! - excess energy over the best structure of this formula in the dataset (eV per atom) = 0.0954
! - formation energy (no corrections) (eV per atom) = -1.221

---

No. 6
! PBE AcSb3P, optimized geometry; values from VASP
&SYSTEM
  ibrav = 0, nat = 5, ntyp = 3
/
ATOMIC_SPECIES
Ac 227.00 Ac.upf
Sb 121.76 Sb.upf
P 30.97 P.upf
ATOMIC_POSITIONS crystal
Ac 0.000 0.000 0.000
Sb 0.000 0.500 0.500
Sb 0.500 0.000 0.500
Sb 0.500 0.500 0.000
P 0.500 0.500 0.500
CELL_PARAMETERS angstrom
5.304 0.000 0.000
0.000 5.304 0.000
0.000 0.000 5.304
! - symmetry = No. 221
! - N(E_F) (states/eV per atom) = 1.259
! - formation energy (no corrections) (eV per atom) = -0.118

---

No. 7
! PBE Ac3SbP, optimized geometry; values from VASP
&SYSTEM
  ibrav = 0, nat = 5, ntyp = 3
/
ATOMIC_SPECIES
Ac 227.00 Ac.upf
Sb 121.76 Sb.upf
P 30.97 P.upf
ATOMIC_POSITIONS crystal
Ac 0.000 0.000 0.500
Ac 0.000 0.500 0.000
Ac 0.500 0.000 0.000
Sb 0.500 0.500 0.500
P 0.000 0.000 0.000
CELL_PARAMETERS angstrom
5.775 0.000 0.000
0.000 5.775 0.000
0.000 0.000 5.775
! - symmetry = No. 221
! - N(E_F) (states/eV per atom) = 0.824
! - formation energy (no corrections) (eV per atom) = -0.667

---

No. 8
! PBE Ac8Sb4PSe3, optimized geometry; values from VASP
&SYSTEM
  ibrav = 0, nat = 16, ntyp = 4
/
ATOMIC_SPECIES
Ac 227.00 Ac.upf
Sb 121.76 Sb.upf
P 30.97 P.upf
Se 78.96 Se.upf
ATOMIC_POSITIONS crystal
Ac 0.248 0.248 0.248
Ac 0.254 0.742 0.742
Ac 0.258 0.258 0.746
Ac 0.258 0.746 0.258
Ac 0.742 0.254 0.742
Ac 0.742 0.742 0.254
Ac 0.746 0.258 0.258
Ac 0.752 0.752 0.752
Sb 0.000 0.000 0.000
Sb 0.000 0.500 0.500
Sb 0.500 0.000 0.500
Sb 0.500 0.500 0.000
P 0.500 0.500 0.500
Se 0.000 0.000 0.500
Se 0.000 0.500 0.000
Se 0.500 0.000 0.000
CELL_PARAMETERS angstrom
4.648 2.683 7.528
-4.648 2.683 7.528
0.000 -5.367 7.528
! - symmetry = No. 166
! - N(E_F) (states/eV per atom) = 0.249
! - formation energy (no corrections) (eV per atom) = -1.513

---

No. 9
! PBE Ac6Sb3P2Se, optimized geometry; values from VASP
&SYSTEM
  ibrav = 0, nat = 12, ntyp = 4
/
ATOMIC_SPECIES
Ac 227.00 Ac.upf
Sb 121.76 Sb.upf
P 30.97 P.upf
Se 78.96 Se.upf
ATOMIC_POSITIONS crystal
Ac 0.006 0.006 0.250
Ac 0.329 0.329 0.428
Ac 0.333 0.333 0.902
Ac 0.667 0.667 0.098
Ac 0.671 0.671 0.572
Ac 0.994 0.994 0.750
Sb 0.164 0.164 0.834
Sb 0.500 0.500 0.500
Sb 0.836 0.836 0.166
P 0.167 0.167 0.332
P 0.833 0.833 0.668
Se 0.500 0.500 0.000
CELL_PARAMETERS angstrom
10.083 -2.311 0.000
10.083 2.311 0.000
-2.134 0.000 9.022
! - symmetry = No. 12
! - N(E_F) (states/eV per atom) = 0.228
! - formation energy (no corrections) (eV per atom) = -1.417

---

No. 10
! PBE Ac6SbP2Se3, optimized geometry; values from VASP
&SYSTEM
  ibrav = 0, nat = 12, ntyp = 4
/
ATOMIC_SPECIES
Ac 227.00 Ac.upf
Sb 121.76 Sb.upf
P 30.97 P.upf
Se 78.96 Se.upf
ATOMIC_POSITIONS crystal
Ac 0.006 0.006 0.261
Ac 0.329 0.329 0.426
Ac 0.329 0.329 0.899
Ac 0.671 0.671 0.101
Ac 0.671 0.671 0.574
Ac 0.994 0.994 0.739
Sb 0.500 0.500 0.000
P 0.168 0.168 0.335
P 0.832 0.832 0.665
Se 0.164 0.164 0.833
Se 0.500 0.500 0.500
Se 0.836 0.836 0.167
CELL_PARAMETERS angstrom
9.859 -2.256 0.000
9.859 2.256 0.000
-2.080 0.000 8.828
! - symmetry = No. 12
! - N(E_F) (states/eV per atom) = 0.380
! - formation energy (no corrections) (eV per atom) = -1.671